Density functional theory data (PBE) for a relaxed structure of YCuSn.

Cell lengths 4.5880, 4.5880, 6.5780 Å; angles 90.00, 90.00, 90.00 degrees
With the nearest neighbours (Å) after each atom.
Space group P4_2/mmc (No. 131)
Asymmetric unit:
Y 0.0000 0.5000 0.0000  4 Cu 2.82
Cu 0.0000 0.0000 0.2500  4 Sn 2.82, 4 Y 2.82
Sn 0.0000 0.5000 0.5000  4 Cu 2.82

Values from the calculation:
total moment: 0.0 Bohr magnetons per cell
energy of formation from the pure elements: -461 meV/atom